Entry 1:
First-principles (GGA-PBE) data for a relaxed structure of Y7Sn2Pt2, as listed in Alexandria.

```
11
Lattice="4.148 -5.535 0.000 4.148 5.535 0.000 0.000 0.000 7.055" Properties=species:S:1:pos:R:3 pbc="T T T"
Y 0.000 0.000 0.000
Y 2.074 2.768 1.784
Y 2.074 2.768 5.272
Y 2.074 -2.768 1.784
Y 2.074 -2.768 5.272
Y 4.148 0.000 1.702
Y 4.148 0.000 5.354
Sn 1.493 0.000 3.528
Sn 6.802 0.000 3.528
Pt 4.148 2.382 0.000
Pt 4.148 -2.382 0.000
```

Calculated values
- Energy of formation from the pure elements: -61.9 kJ/mol of atoms
- Symmetry: Cmmm
- DOS at the Fermi energy: 0.907 states/eV/atom
- Total magnetization: 0.000 μB/cell

***

Entry 2:
First-principles (GGA-PBE) data for a relaxed structure of Li3Ca4Ag, as listed in Alexandria.

```
8
Lattice="4.323 0.000 0.000 0.000 4.607 0.000 0.000 0.000 12.092" Properties=species:S:1:pos:R:3 pbc="T T T"
Li 0.000 0.000 0.000
Li 0.000 2.304 1.671
Li 2.161 0.000 6.179
Ca 0.000 0.000 8.607
Ca 0.000 2.304 5.250
Ca 2.161 0.000 2.720
Ca 2.161 2.304 10.986
Ag 2.161 2.304 7.708
```

Calculated values
- Energy of formation from the pure elements: -6.5 kJ/mol of atoms
- Symmetry: Pmm2
- Energy above the most stable polymorph in this dataset: 0.005 eV per atom
- DOS at the Fermi energy: 0.731 states/eV/atom
- Total magnetization: 0.000 μB/cell

***

Entry 3:
First-principles (GGA-PBE) data for a relaxed structure of BaYSc2, as listed in Alexandria.

```
4
Lattice="3.702 0.000 0.000 0.000 4.572 0.000 -0.016 0.000 7.936" Properties=species:S:1:pos:R:3 pbc="T T T"
Ba 0.000 0.000 0.000
Y -0.008 0.000 3.968
Sc 1.846 2.286 2.383
Sc 1.840 2.286 5.553
```

Calculated values
- Energy of formation from the pure elements: 24.6 kJ/mol of atoms
- Symmetry: P2/m
- Energy above the most stable polymorph in this dataset: 0.061 eV per atom
- DOS at the Fermi energy: 1.991 states/eV/atom
- Total magnetization: 0.000 μB/cell

***

Entry 4:
First-principles (GGA-PBE) data for a relaxed structure of Nd6Ho2Tm3, as listed in Alexandria.

```
11
Lattice="-2.372 2.372 16.951 2.372 -2.372 16.951 2.372 2.372 -16.951" Properties=species:S:1:pos:R:3 pbc="T T T"
Nd 2.372 0.000 4.076
Nd 0.000 0.000 6.964
Nd 2.372 0.000 12.875
Nd 0.000 2.372 4.076
Nd 0.000 0.000 26.937
Nd 0.000 2.372 12.875
Ho 0.000 0.000 1.526
Ho 0.000 0.000 32.376
Tm 0.000 0.000 10.374
Tm 0.000 0.000 16.951
Tm 0.000 0.000 23.527
```

Calculated values
- Energy of formation from the pure elements: 29.6 kJ/mol of atoms
- Symmetry: I4/mmm
- Energy above the most stable polymorph in this dataset: 0.288 eV per atom
- DOS at the Fermi energy: 1.466 states/eV/atom
- Total magnetization: 0.000 μB/cell

***

Entry 5:
First-principles (GGA-PBE) data for a relaxed structure of YPb5, as listed in Alexandria.

```
6
Lattice="6.273 0.000 0.000 -3.136 5.433 0.000 0.000 0.000 5.974" Properties=species:S:1:pos:R:3 pbc="T T T"
Y 0.000 0.000 0.000
Pb -1.568 2.716 2.987
Pb 0.000 3.622 0.000
Pb 3.136 0.000 2.987
Pb 1.568 2.716 2.987
Pb 3.136 1.811 0.000
```

Calculated values
- Energy of formation from the pure elements: 11.4 kJ/mol of atoms
- Symmetry: P6/mmm
- Energy above the most stable polymorph in this dataset: 0.266 eV per atom
- DOS at the Fermi energy: 0.822 states/eV/atom
- Total magnetization: 0.000 μB/cell

***

Entry 6:
First-principles (GGA-PBE) data for a relaxed structure of Na3HoNp3Te8, as listed in Alexandria.

```
15
Lattice="4.438 2.562 7.547 -4.438 2.562 7.547 0.000 -5.125 7.547" Properties=species:S:1:pos:R:3 pbc="T T T"
Na -2.219 -1.281 7.547
Na -2.219 1.281 15.094
Na 0.000 2.562 7.547
Ho 0.000 0.000 11.321
Np -4.438 0.000 11.321
Np -2.219 1.281 3.774
Np 2.219 1.281 3.774
Te 0.000 0.000 5.536
Te -2.219 -1.281 13.061
Te 0.000 -2.562 9.580
Te -2.219 1.281 9.580
Te 2.219 -1.281 13.061
Te 0.000 2.562 13.061
Te 2.219 1.281 9.580
Te 0.000 0.000 17.106
```

Calculated values
- Symmetry: R-3m
- ΔE_f (raw): -0.90 eV/atom
- DOS at the Fermi energy: 1.891 states/eV/atom
- Total magnetization: 11.000 μB/cell

***

Entry 7:
First-principles (GGA-PBE) data for a relaxed structure of Pu6ZnSn2, as listed in Alexandria.

```
9
Lattice="8.918 0.000 0.000 -4.459 7.723 0.000 0.000 0.000 3.246" Properties=species:S:1:pos:R:3 pbc="T T T"
Pu -1.472 2.550 0.000
Pu -2.986 5.172 0.000
Pu 2.945 0.000 0.000
Pu 1.472 2.550 0.000
Pu 5.973 0.000 0.000
Pu 2.986 5.172 0.000
Zn 0.000 0.000 1.623
Sn 0.000 5.149 1.623
Sn 4.459 2.574 1.623
```

Calculated values
- Energy of formation from the pure elements: -3.9 kJ/mol of atoms
- Symmetry: P6/mmm
- DOS at the Fermi energy: 3.188 states/eV/atom
- Total magnetization: 35.794 μB/cell

***

Entry 8:
First-principles (GGA-PBE) data for a relaxed structure of Cu3H12Ru5, as listed in Alexandria.

```
80
Lattice="-5.307 5.307 5.307 5.307 -5.307 5.307 5.307 5.307 -5.307" Properties=species:S:1:pos:R:3 pbc="T T T"
Cu 2.654 1.327 0.000
Cu 5.307 2.654 -1.327
Cu 1.327 0.000 2.654
Cu 6.634 0.000 2.654
Cu 0.000 2.654 1.327
Cu 2.654 -1.327 5.307
Cu 2.654 6.634 0.000
Cu 5.307 2.654 3.980
Cu -1.327 5.307 2.654
Cu 3.980 5.307 2.654
Cu 0.000 2.654 6.634
Cu 2.654 3.980 5.307
H 1.596 -0.199 0.771
H 6.364 3.425 -2.853
H 5.108 -0.771 1.596
H 8.160 -1.057 1.883
H 6.904 0.199 0.771
H 6.364 -1.883 2.853
H 0.771 1.596 -0.199
H 7.190 2.454 -1.057
H 3.425 2.853 -1.057
H 4.536 1.596 0.199
H -0.199 0.771 1.596
H 2.853 -1.057 3.425
H 5.108 4.536 -1.596
H 2.853 1.057 1.883
H 4.536 -1.596 5.108
H 3.425 -2.853 6.364
H 1.883 2.853 1.057
H 6.078 3.711 0.199
H 1.596 5.108 -0.771
H 6.364 1.883 2.454
H 2.853 6.364 -1.883
H 5.108 0.771 3.711
H 1.057 1.883 2.853
H 1.596 0.199 4.536
H 3.711 5.108 0.771
H 4.250 3.425 2.454
H 0.199 4.536 1.596
H 2.454 -1.057 7.190
H -1.057 3.425 2.853
H 3.711 0.199 6.078
H -0.771 1.596 5.108
H 3.425 2.454 4.250
H 1.883 8.160 -1.057
H 0.771 6.904 0.199
H 2.454 4.250 3.425
H 0.199 0.771 6.904
H 2.454 6.364 1.883
H 5.507 4.536 3.711
H 0.771 3.711 5.108
H 1.883 2.454 6.364
H -1.883 2.853 6.364
H 4.536 3.711 5.507
H -1.057 7.190 2.454
H -1.596 5.108 4.536
H -2.853 6.364 3.425
H 0.199 6.078 3.711
H -1.057 1.883 8.160
H 3.711 5.507 4.536
Ru 0.000 0.000 0.000
Ru 2.654 2.654 -2.654
Ru 2.654 -2.654 2.654
Ru 5.307 0.000 0.000
Ru 7.961 1.327 0.000
Ru 5.307 -2.654 3.980
Ru 3.980 5.307 -2.654
Ru 3.980 0.000 2.654
Ru 2.654 3.980 0.000
Ru 5.307 2.654 1.327
Ru -2.654 2.654 2.654
Ru 0.000 5.307 0.000
Ru 0.000 0.000 5.307
Ru 2.654 2.654 2.654
Ru 0.000 2.654 3.980
Ru 2.654 1.327 5.307
Ru 1.327 5.307 2.654
Ru 1.327 0.000 7.961
Ru 0.000 7.961 1.327
Ru -2.654 3.980 5.307
```

Calculated values
- Symmetry: Ia-3d
- Electronic total energy: -4.69 eV/atom
- DOS at the Fermi energy: 0.619 states/eV/atom
- Total magnetization: 0.004 μB/cell

***

Number 3 is which compound? BaYSc2

***

Which of these has the highest total magnetization? Pu6ZnSn2

***

total magnetization of number 6 (Na3HoNp3Te8)? 11.000 μB/cell

***

Which of these has the lowest DOS at the Fermi energy? Cu3H12Ru5